## Sc6AsP3 (GGA-PBE)

Data for a geometry-optimized Sc6AsP3 structure.

## Properties
For the uncorrected energy, the calculation gives -7.07 eV per atom. The value obtained for the total magnetization is 0.0 μB/f.u. Its crystal system is monoclinic.

Unit cell a=10.3340 b=3.8421 c=10.7631 alpha=90.00 beta=109.46 gamma=90.00
With the nearest neighbours (Å) after each atom.
Space group P2_1/m (No. 11)
One atom of each set of equivalent atoms:
Sc1 0.0463 0.2500 0.4171  3 P 2.53-2.54
Sc2 0.1190 0.2500 0.9785  4 P 2.54-2.66
Sc3 0.2121 0.7500 0.2755  3 P 2.63-2.74, 2 As 2.81
Sc4 0.2481 0.7500 0.7716  3 P 2.52-2.62
Sc5 0.3979 0.2500 0.5542  2 P 2.68, 3 As 2.81-2.85
Sc6 0.4253 0.7500 0.1010  3 P 2.53-2.62
As1 0.4169 0.2500 0.2958  7 Sc 2.81-2.87
P1 0.0163 0.2500 0.1743  6 Sc 2.53-2.74
P2 0.2077 0.7500 0.5184  6 Sc 2.54-2.68
P3 0.3417 0.2500 0.9275  6 Sc 2.52-2.62